1.
First-principles (PBE-GGA) data for a geometry-optimized GdCd structure, as listed in the Alexandria database.

abc: 3.775 3.779 3.773
angles: 90.00 90.00 90.00
Each line ends with the local moment (μB).
Fractional coordinates of all 2 atoms:
Gd 0.000 0.496 0.004  7.18
Cd 0.500 0.996 0.504  0.02

Properties
E_form, eV/atom: -0.343
Final energy, Ry/atom: -0.5763
Magnetic moment, μB/atom: 3.775

2.
First-principles (PBE-GGA) data for a geometry-optimized Sc2ZnPd8 structure, as listed in the Alexandria database.

abc: 4.132 6.253 7.402
angles: 105.52 106.21 90.00
Fractional coordinates of all 11 atoms:
Pd 0.963 0.266 0.926
Pd 0.851 0.804 0.703
Pd 0.594 0.448 0.189
Pd 0.329 0.088 0.657
Pd 0.406 0.552 0.811
Pd 0.671 0.912 0.343
Pd 0.037 0.734 0.074
Pd 0.149 0.196 0.297
Sc 0.785 0.337 0.570
Sc 0.215 0.663 0.430
Zn 0.500 0.000 0.000

Properties
E_form, eV/atom: -0.618
Final energy, Ry/atom: -0.4161
Magnetic moment, μB/atom: 0.000

3.
First-principles (PBE-GGA) data for a geometry-optimized BaSc2Cu structure, as listed in the Alexandria database.

abc: 6.372 6.372 6.372
angles: 139.17 139.17 59.12
Each line ends with the local moment (μB).
Fractional coordinates of all 4 atoms:
Sc 0.500 0.500 0.000  0.31
Sc 0.000 0.000 0.000  0.31
Ba 0.250 0.750 0.500  0.03
Cu 0.750 0.250 0.500  0.01

Properties
E_form, eV/atom: 0.460
Final energy, Ry/atom: -0.3095
Magnetic moment, μB/atom: 0.245

4.
First-principles (PBE-GGA) data for a geometry-optimized ErMgAs2 structure, as listed in the Alexandria database.

abc: 4.116 4.116 6.715
angles: 72.15 72.15 60.00
Fractional coordinates of all 4 atoms:
Er 0.669 0.669 0.993
As 0.248 0.248 0.256
As 0.087 0.087 0.738
Mg 0.495 0.495 0.514

Properties
E_form, eV/atom: -0.848
Final energy, Ry/atom: -0.3463
Magnetic moment, μB/atom: 0.000

5.
First-principles (PBE-GGA) data for a geometry-optimized PmGaBr structure, as listed in the Alexandria database.

abc: 4.217 4.217 11.503
angles: 88.51 88.51 60.00
Fractional coordinates of all 6 atoms:
Ga 0.335 0.335 0.473
Ga 0.665 0.665 0.527
Br 0.683 0.683 0.161
Br 0.317 0.317 0.839
Pm 0.009 0.009 0.317
Pm 0.991 0.991 0.683

Properties
Final energy, Ry/atom: -0.3242
Magnetic moment, μB/atom: 0.000
Formation energy without anion corrections, eV/atom: -1.26

6.
First-principles (PBE-GGA) data for a geometry-optimized SrOsPt2 structure, as listed in the Alexandria database.

abc: 2.793 5.473 5.863
angles: 53.62 90.00 90.00
Fractional coordinates of all 4 atoms:
Sr 0.500 0.500 0.500
Pt 0.000 0.000 0.000
Pt 0.500 0.500 0.000
Os 0.000 0.000 0.500

Properties
E_form, eV/atom: 0.310
Final energy, Ry/atom: -0.4365
Magnetic moment, μB/atom: 0.000

7.
First-principles (PBE-GGA) data for a geometry-optimized Sr2Ga4CuAu3 structure, as listed in the Alexandria database.

abc: 4.491 4.491 10.714
angles: 90.00 90.00 90.00
Fractional coordinates of all 10 atoms:
Ga 0.000 0.000 0.000
Ga 0.000 0.500 0.381
Ga 0.500 0.000 0.619
Ga 0.500 0.500 0.000
Au 0.500 0.000 0.863
Au 0.000 0.000 0.500
Au 0.000 0.500 0.137
Sr 0.000 0.500 0.746
Sr 0.500 0.000 0.254
Cu 0.500 0.500 0.500

Properties
E_form, eV/atom: -0.527
Final energy, Ry/atom: -0.2548
Magnetic moment, μB/atom: 0.000

8.
First-principles (PBE-GGA) data for a geometry-optimized Ac2Hg2Ge structure, as listed in the Alexandria database.

abc: 4.529 6.539 11.414
angles: 82.93 78.56 69.74
Fractional coordinates of all 10 atoms:
Ge 0.437 0.824 0.303
Ge 0.563 0.176 0.697
Hg 0.932 0.705 0.431
Hg 0.068 0.295 0.569
Hg 0.361 0.164 0.113
Hg 0.639 0.836 0.887
Ac 0.091 0.707 0.110
Ac 0.701 0.244 0.353
Ac 0.909 0.293 0.890
Ac 0.299 0.756 0.647

Properties
E_form, eV/atom: -0.513
Final energy, Ry/atom: -0.2352
Magnetic moment, μB/atom: 0.000